#A
DFT (PBE) results for an optimized crystal structure of K2Si.

The space group is P-3m1 (No. 164) and the conventional cell measures 4.1425, 4.1425 and 9.1196 Å, with angles of 90.00, 90.00 and 120.00 degrees. The distinct sites, in fractional coordinates, are K at (0.3333, 0.6667, 0.2566) and Si at (0.0000, 0.0000, 0.0000).

The calculation puts the volume at 45.2 Å³ per atom.


#B
DFT (PBE) results for an optimized crystal structure of K2Si.

The space group is C2/m (No. 12) and the conventional cell measures 19.126, 4.021 and 6.862 Å, with angles of 90.00, 103.10 and 90.00 degrees. The distinct sites, in fractional coordinates, are K at (0.087, 0.000, 0.297), K at (0.167, 0.500, 0.842) and Si at (0.237, 0.500, 0.403).

The calculation puts the volume at 42.8 Å³ per atom.


Stability verdict: #B, ahead by 50.3 kJ/mol of atoms